TaNi3Pt after structural relaxation. Source: Alexandria, functional GGA-PBE.

Symmetry = Pm-3m, No. 221
Distance to the lowest polymorph of the same formula = 1598 meV/atom
Energy of formation from the pure elements = 1.3227 eV/atom

```
data_TaNi3Pt
_chemical_formula_sum 'Ta1 Ni3 Pt1'
_cell_length_a 4.435
_cell_length_b 4.435
_cell_length_c 4.435
_cell_angle_alpha 90.00
_cell_angle_beta 90.00
_cell_angle_gamma 90.00
_symmetry_space_group_name_H-M 'P 1'
_symmetry_Int_Tables_number 1
loop_
_symmetry_equiv_pos_as_xyz
'x,y,z'
loop_
_atom_site_label
_atom_site_type_symbol
_atom_site_fract_x
_atom_site_fract_y
_atom_site_fract_z
Ni1 Ni 0.500 0.000 0.000
Ni2 Ni 0.000 0.000 0.500
Ni3 Ni 0.000 0.500 0.000
Ta1 Ta 0.000 0.000 0.000
Pt1 Pt 0.500 0.500 0.500
```

---

Ta2Ni2Pt after structural relaxation. Source: Alexandria, functional GGA-PBE.

Symmetry = Cmmm, No. 65
Distance to the lowest polymorph of the same formula = 371 meV/atom
Energy of formation from the pure elements = -0.0558 eV/atom

```
data_Ta2Ni2Pt
_chemical_formula_sum 'Ta2 Ni2 Pt1'
_cell_length_a 3.835
_cell_length_b 3.835
_cell_length_c 5.726
_cell_angle_alpha 90.03
_cell_angle_beta 90.03
_cell_angle_gamma 108.76
_symmetry_space_group_name_H-M 'P 1'
_symmetry_Int_Tables_number 1
loop_
_symmetry_equiv_pos_as_xyz
'x,y,z'
loop_
_atom_site_label
_atom_site_type_symbol
_atom_site_fract_x
_atom_site_fract_y
_atom_site_fract_z
Ni1 Ni 0.182 0.818 0.500
Ni2 Ni 0.818 0.182 0.500
Pt1 Pt 0.000 0.000 0.000
Ta1 Ta 0.500 0.500 0.254
Ta2 Ta 0.500 0.500 0.746
```